P | The following is a DFT calculation (PBE-GGA) of a relaxed structure of YV3Bi.

Values from the calculation:
Magnetic moment ... 8.9 μB per formula unit
N(E_F) ... 4.41 states/eV/cell
Crystal system ... cubic

```
YV3Bi
1.0
5.147 0.000 0.000
0.000 5.147 0.000
0.000 0.000 5.147
Y Bi V
1 1 3
direct
0.500 0.500 0.500
0.000 0.000 0.000
0.000 0.500 0.000
0.000 0.000 0.500
0.500 0.000 0.000
```

---

Q | The following is a DFT calculation (PBE-GGA) of a relaxed structure of YV3Bi.

Values from the calculation:
Magnetic moment ... 6.5 μB per formula unit
N(E_F) ... 9.15 states/eV/cell
Crystal system ... cubic

```
YV3Bi
1.0
-0.495 2.420 -4.244
1.194 -4.076 -2.464
-4.737 -1.280 -0.177
Y Bi V
1 1 3
direct
0.000 0.000 0.000
0.500 0.500 0.500
0.000 0.500 0.000
0.000 0.000 0.500
0.500 0.000 0.000
```

---

Which structure is most stable? P, by 498 meV/atom over the runner-up.

---

P | The following is a DFT calculation (PBE-GGA) of a relaxed structure of YVBi2.

Values from the calculation:
Magnetic moment ... 2.0 μB per formula unit
N(E_F) ... 5.67 states/eV/cell
Crystal system ... tetragonal

```
YVBi2
1.0
6.485 0.000 0.000
0.000 6.485 0.000
3.243 3.243 7.136
Y Bi V
2 4 2
direct
0.000 0.000 0.000
0.750 0.250 0.500
0.576 0.125 0.250
0.174 0.625 0.250
0.375 0.424 0.750
0.875 0.826 0.750
0.500 0.500 0.000
0.250 0.750 0.500
```

---

Q | The following is a DFT calculation (PBE-GGA) of a relaxed structure of YVBi2.

Values from the calculation:
Magnetic moment ... 2.7 μB per formula unit
N(E_F) ... 3.49 states/eV/cell
Crystal system ... cubic

```
YVBi2
1.0
0.000 3.736 3.736
3.736 0.000 3.736
3.736 3.736 0.000
Y Bi V
1 2 1
direct
0.500 0.500 0.500
0.250 0.250 0.250
0.750 0.750 0.750
0.000 0.000 0.000
```

---

Which structure is most stable? Q, by 333 meV/atom over the runner-up.

---

P | The following is a DFT calculation (PBE-GGA) of a relaxed structure of V2ZnBi2.

Values from the calculation:
Magnetic moment ... 0.0 μB per formula unit
N(E_F) ... 5.34 states/eV/cell
Crystal system ... tetragonal

```
V2ZnBi2
1.0
4.682 0.000 0.000
0.000 4.682 0.000
2.341 2.341 5.319
Zn Bi V
1 2 2
direct
0.000 0.000 0.000
0.750 0.250 0.500
0.250 0.750 0.500
0.414 0.414 0.173
0.586 0.586 0.827
```

---

Q | The following is a DFT calculation (PBE-GGA) of a relaxed structure of V2ZnBi2.

Values from the calculation:
Magnetic moment ... 2.0 μB per formula unit
N(E_F) ... 7.40 states/eV/cell
Crystal system ... tetragonal

```
V2ZnBi2
1.0
7.117 0.000 0.000
0.000 7.117 0.000
0.000 0.000 3.978
Zn Bi V
2 4 4
direct
0.000 0.000 0.000
0.500 0.500 0.000
0.168 0.668 0.500
0.668 0.832 0.500
0.832 0.332 0.500
0.332 0.168 0.500
0.370 0.870 0.000
0.870 0.630 0.000
0.630 0.130 0.000
0.130 0.370 0.000
```

---

Which structure is most stable? Q, by 304 meV/atom over the runner-up.

---

P | The following is a DFT calculation (PBE-GGA) of a relaxed structure of ZrV3Bi.

Values from the calculation:
Magnetic moment ... 0.0 μB per formula unit
N(E_F) ... 7.48 states/eV/cell
Crystal system ... cubic

```
ZrV3Bi
1.0
4.737 0.000 0.000
0.000 4.737 0.000
0.000 0.000 4.737
Bi Zr V
1 1 3
direct
0.500 0.500 0.500
0.000 0.000 0.000
0.000 0.500 0.000
0.000 0.000 0.500
0.500 0.000 0.000
```

---

Q | The following is a DFT calculation (PBE-GGA) of a relaxed structure of ZrV3Bi.

Values from the calculation:
Magnetic moment ... 1.8 μB per formula unit
N(E_F) ... 6.53 states/eV/cell
Crystal system ... cubic

```
ZrV3Bi
1.0
4.899 0.000 0.000
0.000 4.899 0.000
0.000 0.000 4.899
Bi Zr V
1 1 3
direct
0.000 0.000 0.000
0.500 0.500 0.500
0.000 0.500 0.000
0.000 0.000 0.500
0.500 0.000 0.000
```

---

Which structure is most stable? P, by 153 meV/atom over the runner-up.

---

P | The following is a DFT calculation (PBE-GGA) of a relaxed structure of ZrVBi2.

Values from the calculation:
Magnetic moment ... 3.0 μB per formula unit
N(E_F) ... 5.42 states/eV/cell
Crystal system ... tetragonal

```
ZrVBi2
1.0
6.538 0.000 0.000
0.000 6.538 0.000
3.269 3.269 6.639
Bi Zr V
4 2 2
direct
0.610 0.125 0.250
0.140 0.625 0.250
0.375 0.390 0.750
0.875 0.860 0.750
0.000 0.000 0.000
0.750 0.250 0.500
0.500 0.500 0.000
0.250 0.750 0.500
```

---

Q | The following is a DFT calculation (PBE-GGA) of a relaxed structure of ZrVBi2.

Values from the calculation:
Magnetic moment ... 0.7 μB per formula unit
N(E_F) ... 3.26 states/eV/cell
Crystal system ... cubic

```
ZrVBi2
1.0
-3.636 -3.287 1.214
-4.573 0.403 -2.103
-1.537 -3.425 -3.376
Bi Zr V
2 1 1
direct
0.250 0.250 0.250
0.750 0.750 0.750
0.500 0.500 0.500
0.000 0.000 0.000
```

---

R | The following is a DFT calculation (PBE-GGA) of a relaxed structure of ZrVBi2.

Values from the calculation:
Magnetic moment ... 3.7 μB per formula unit
N(E_F) ... 3.04 states/eV/cell
Crystal system ... trigonal

```
ZrVBi2
1.0
3.402 0.000 0.000
1.701 2.946 0.000
1.701 0.982 10.498
Bi Zr V
2 1 1
direct
0.089 0.089 0.732
0.911 0.911 0.268
0.500 0.500 0.500
0.000 0.000 0.000
```

---

Which structure is most stable? Q, by 218 meV/atom over the runner-up.

---

P | The following is a DFT calculation (PBE-GGA) of a relaxed structure of ZrVBi3.

Values from the calculation:
Magnetic moment ... 2.5 μB per formula unit
N(E_F) ... 8.59 states/eV/cell
Crystal system ... cubic

```
ZrVBi3
1.0
5.282 0.000 0.000
0.000 5.282 0.000
0.000 0.000 5.282
Bi Zr V
3 1 1
direct
0.000 0.500 0.000
0.000 0.000 0.500
0.500 0.000 0.000
0.500 0.500 0.500
0.000 0.000 0.000
```

---

Q | The following is a DFT calculation (PBE-GGA) of a relaxed structure of ZrVBi3.

Values from the calculation:
Magnetic moment ... 3.8 μB per formula unit
N(E_F) ... 8.80 states/eV/cell
Crystal system ... cubic

```
ZrVBi3
1.0
5.642 0.000 0.000
0.000 5.642 0.000
0.000 0.000 5.642
Bi Zr V
3 1 1
direct
0.000 0.500 0.000
0.000 0.000 0.500
0.500 0.000 0.000
0.000 0.000 0.000
0.500 0.500 0.500
```

---

Which structure is most stable? P, by 135 meV/atom over the runner-up.

---

P | The following is a DFT calculation (PBE-GGA) of a relaxed structure of YBiW3.

Values from the calculation:
Magnetic moment ... 0.0 μB per formula unit
N(E_F) ... 7.47 states/eV/cell
Crystal system ... cubic

```
YBiW3
1.0
5.048 0.000 0.000
0.000 5.048 0.000
0.000 0.000 5.048
Y Bi W
1 1 3
direct
0.500 0.500 0.500
0.000 0.000 0.000
0.000 0.500 0.000
0.000 0.000 0.500
0.500 0.000 0.000
```

---

Q | The following is a DFT calculation (PBE-GGA) of a relaxed structure of YBiW3.

Values from the calculation:
Magnetic moment ... 0.0 μB per formula unit
N(E_F) ... 3.49 states/eV/cell
Crystal system ... cubic

```
YBiW3
1.0
4.943 0.000 0.000
0.000 4.943 0.000
0.000 0.000 4.943
Y Bi W
1 1 3
direct
0.000 0.000 0.000
0.500 0.500 0.500
0.000 0.500 0.000
0.000 0.000 0.500
0.500 0.000 0.000
```

---

Which structure is most stable? P, by 461 meV/atom over the runner-up.

---

P | The following is a DFT calculation (PBE-GGA) of a relaxed structure of YBi2W.

Values from the calculation:
Magnetic moment ... 0.0 μB per formula unit
N(E_F) ... 2.49 states/eV/cell
Crystal system ... cubic

```
YBi2W
1.0
0.000 3.615 3.615
3.615 0.000 3.615
3.615 3.615 0.000
Y Bi W
1 2 1
direct
0.000 0.000 0.000
0.250 0.250 0.250
0.750 0.750 0.750
0.500 0.500 0.500
```

---

Q | The following is a DFT calculation (PBE-GGA) of a relaxed structure of YBi2W.

Values from the calculation:
Magnetic moment ... 0.5 μB per formula unit
N(E_F) ... 8.57 states/eV/cell
Crystal system ... tetragonal

```
YBi2W
1.0
-0.926 -3.807 2.296
1.046 -2.466 -3.667
10.114 -3.646 2.526
Y Bi W
2 4 2
direct
0.500 0.500 0.000
0.250 0.750 0.500
0.642 0.125 0.250
0.108 0.625 0.250
0.375 0.358 0.750
0.875 0.892 0.750
0.000 0.000 0.000
0.750 0.250 0.500
```

---

Which structure is most stable? P, by 429 meV/atom over the runner-up.

---

P | The following is a DFT calculation (PBE-GGA) of a relaxed structure of Zn2BiW2.

Values from the calculation:
Magnetic moment ... 0.0 μB per formula unit
N(E_F) ... 6.66 states/eV/cell
Crystal system ... tetragonal

```
Zn2BiW2
1.0
-6.061 -4.740 2.700
3.127 -6.326 -4.086
1.556 -0.697 2.270
Zn Bi W
4 2 4
direct
0.322 0.822 0.000
0.822 0.678 0.000
0.678 0.178 0.000
0.178 0.322 0.000
0.000 0.000 0.000
0.500 0.500 0.000
0.110 0.610 0.500
0.610 0.890 0.500
0.890 0.390 0.500
0.390 0.110 0.500
```

---

Q | The following is a DFT calculation (PBE-GGA) of a relaxed structure of Zn2BiW2.

Values from the calculation:
Magnetic moment ... 0.0 μB per formula unit
N(E_F) ... 3.34 states/eV/cell
Crystal system ... tetragonal

```
Zn2BiW2
1.0
-2.406 -1.593 2.479
2.903 -0.733 2.347
-0.616 4.624 5.291
Zn Bi W
2 1 2
direct
0.400 0.400 0.200
0.600 0.600 0.800
0.000 0.000 0.000
0.750 0.250 0.500
0.250 0.750 0.500
```

---

Which structure is most stable? Q, by 27 meV/atom over the runner-up.

---

P | The following is a DFT calculation (PBE-GGA) of a relaxed structure of ZnBiW2.

Values from the calculation:
Magnetic moment ... 0.0 μB per formula unit
N(E_F) ... 2.60 states/eV/cell
Crystal system ... cubic

```
ZnBiW2
1.0
0.000 3.284 3.284
3.284 0.000 3.284
3.284 3.284 0.000
Zn Bi W
1 1 2
direct
0.000 0.000 0.000
0.500 0.500 0.500
0.250 0.250 0.250
0.750 0.750 0.750
```

---

Q | The following is a DFT calculation (PBE-GGA) of a relaxed structure of ZnBiW2.

Values from the calculation:
Magnetic moment ... 0.0 μB per formula unit
N(E_F) ... 3.60 states/eV/cell
Crystal system ... tetragonal

```
ZnBiW2
1.0
3.981 0.000 0.000
0.000 3.981 0.000
1.990 1.990 9.949
Zn Bi W
2 2 4
direct
0.500 0.500 0.000
0.250 0.750 0.500
0.000 0.000 0.000
0.750 0.250 0.500
0.579 0.125 0.250
0.171 0.625 0.250
0.375 0.421 0.750
0.875 0.829 0.750
```

---

Which structure is most stable? Q, by 170 meV/atom over the runner-up.

---

P | The following is a DFT calculation (PBE-GGA) of a relaxed structure of ZnBiW3.

Values from the calculation:
Magnetic moment ... 0.0 μB per formula unit
N(E_F) ... 6.74 states/eV/cell
Crystal system ... cubic

```
ZnBiW3
1.0
-0.744 -0.372 4.585
3.156 -3.420 0.235
3.346 3.143 0.798
Zn Bi W
1 1 3
direct
0.000 0.000 0.000
0.500 0.500 0.500
0.000 0.500 0.000
0.000 0.000 0.500
0.500 0.000 0.000
```

---

Q | The following is a DFT calculation (PBE-GGA) of a relaxed structure of ZnBiW3.

Values from the calculation:
Magnetic moment ... 0.0 μB per formula unit
N(E_F) ... 5.63 states/eV/cell
Crystal system ... cubic

```
ZnBiW3
1.0
-4.786 1.436 -0.435
-0.451 0.010 4.995
1.431 4.806 0.120
Zn Bi W
1 1 3
direct
0.500 0.500 0.500
0.000 0.000 0.000
0.000 0.500 0.000
0.000 0.000 0.500
0.500 0.000 0.000
```

---

Which structure is most stable? P, by 1192 meV/atom over the runner-up.

---

P | The following is a DFT calculation (PBE-GGA) of a relaxed structure of ZrBi2W.

Values from the calculation:
Magnetic moment ... 0.0 μB per formula unit
N(E_F) ... 1.70 states/eV/cell
Crystal system ... cubic

```
ZrBi2W
1.0
0.000 3.539 3.539
3.539 0.000 3.539
3.539 3.539 0.000
Zr Bi W
1 2 1
direct
0.000 0.000 0.000
0.250 0.250 0.250
0.750 0.750 0.750
0.500 0.500 0.500
```

---

Q | The following is a DFT calculation (PBE-GGA) of a relaxed structure of ZrBi2W.

Values from the calculation:
Magnetic moment ... 0.1 μB per formula unit
N(E_F) ... 5.48 states/eV/cell
Crystal system ... tetragonal

```
ZrBi2W
1.0
4.393 0.000 0.000
0.000 4.393 0.000
2.196 2.196 10.392
Zr Bi W
2 4 2
direct
0.500 0.500 0.000
0.250 0.750 0.500
0.632 0.125 0.250
0.118 0.625 0.250
0.375 0.368 0.750
0.875 0.882 0.750
0.000 0.000 0.000
0.750 0.250 0.500
```

---

Which structure is most stable? P, by 388 meV/atom over the runner-up.

---

P | The following is a DFT calculation (PBE-GGA) of a relaxed structure of ZrBiW3.

Values from the calculation:
Magnetic moment ... 0.0 μB per formula unit
N(E_F) ... 5.31 states/eV/cell
Crystal system ... cubic

```
ZrBiW3
1.0
4.917 0.000 0.000
0.000 4.917 0.000
0.000 0.000 4.917
Zr Bi W
1 1 3
direct
0.000 0.000 0.000
0.500 0.500 0.500
0.000 0.500 0.000
0.000 0.000 0.500
0.500 0.000 0.000
```

---

Q | The following is a DFT calculation (PBE-GGA) of a relaxed structure of ZrBiW3.

Values from the calculation:
Magnetic moment ... 0.0 μB per formula unit
N(E_F) ... 7.12 states/eV/cell
Crystal system ... cubic

```
ZrBiW3
1.0
4.973 0.000 0.000
0.000 4.973 0.000
0.000 0.000 4.973
Zr Bi W
1 1 3
direct
0.500 0.500 0.500
0.000 0.000 0.000
0.000 0.500 0.000
0.000 0.000 0.500
0.500 0.000 0.000
```

---

Which structure is most stable? P, by 266 meV/atom over the runner-up.